VASP calculation (PBE) on crystalline KHfI2O8 at its relaxed geometry.

The calculation puts the energy relative to the elements, uncorrected at -1.1595 eV per atom. For the size of the total moment, the calculation gives 1.7 Bohr magnetons per cell.

It has space group C2/m (No. 12), with a = 11.6314 Å, b = 5.7546 Å, c = 6.3136 Å, α = 90.00°, β = 110.60° and γ = 90.00°. Symmetry generates all atoms from K at (0.0000, 0.0000, 0.0000), Hf at (0.0000, 0.5000, 0.5000), I at (0.2218, 0.0000, 0.6896), O at (0.0956, 0.5000, 0.2858), O at (0.1147, 0.2435, 0.7144) and O at (0.1778, 0.0000, 0.3875).